A plane-wave DFT calculation with GGA-PBE was carried out for an optimized crystal structure of Nb3CoPt.

Output
Spin magnetization: 0.000 Bohr magnetons per cell
Energy of formation from the pure elements: 0.5152 eV per atom
DFT total energy: -8.16 eV/atom

Lattice parameters (Å, degrees): 4.534 4.534 4.534 90.00 90.00 90.00
Space group Pm-3m (No. 221)
Symmetry-distinct sites (fractional):
Nb 0.000 0.000 0.500 [3 per cell]
Co 0.000 0.000 0.000 [1 per cell]
Pt 0.500 0.500 0.500 [1 per cell]